Density functional theory data (PBE) for crystalline Gd2LuPd at its relaxed geometry.

Output
Energy = -37.6 eV/cell
E above lowest polymorph = 438.5 meV per atom

Cell lengths 3.4076, 3.4076, 11.1788 Å; angles 81.23, 81.23, 60.00 degrees
Each line ends with the local moment (μB).
Element x y z (fractional)
Pd1 0.0000 0.0000 0.0000  -0.01
Gd1 0.0799 0.0799 0.7602  7.12
Lu1 0.5000 0.5000 0.5000  -0.09
Gd2 0.9201 0.9201 0.2398  7.12

Density functional theory data (PBE) for crystalline GdLuPdRh at its relaxed geometry.

Output
Energy = -34.7 eV/cell

Cell lengths 4.8773, 4.8773, 4.8773 Å; angles 60.00, 60.00, 60.00 degrees
Each line ends with the local moment (μB).
Element x y z (fractional)
Gd1 0.7500 0.7500 0.7500  6.99
Rh1 0.5000 0.5000 0.5000  -0.04
Lu1 0.2500 0.2500 0.2500  0.00
Pd1 0.0000 0.0000 0.0000  -0.01

Density functional theory data (PBE) for crystalline GdLuTlPd at its relaxed geometry.

Output
Energy = -28.3 eV/cell

Cell lengths 5.1537, 5.1537, 5.1537 Å; angles 60.00, 60.00, 60.00 degrees
Each line ends with the local moment (μB).
Element x y z (fractional)
Gd1 0.2500 0.2500 0.2500  7.02
Pd1 0.0000 0.0000 0.0000  0.03
Lu1 0.7500 0.7500 0.7500  0.02
Tl1 0.5000 0.5000 0.5000  0.01

Density functional theory data (PBE) for crystalline GdLuZnPd at its relaxed geometry.

Output
Energy = -27.5 eV/cell

Cell lengths 4.9806, 4.9806, 4.9806 Å; angles 60.00, 60.00, 60.00 degrees
Each line ends with the local moment (μB).
Element x y z (fractional)
Gd1 0.2500 0.2500 0.2500  -7.01
Pd1 0.5000 0.5000 0.5000  0.00
Zn1 0.0000 0.0000 0.0000  0.00
Lu1 0.7500 0.7500 0.7500  -0.01

Density functional theory data (PBE) for crystalline PmGd2Lu at its relaxed geometry.

Output
Energy = -37.3 eV/cell
E above lowest polymorph = 0.0 meV per atom

Cell lengths 5.0557, 5.0328, 5.0328 Å; angles 90.00, 90.00, 90.00 degrees
Each line ends with the local moment (μB).
Element x y z (fractional)
Gd1 0.0000 0.5000 0.0000  7.15
Lu1 0.5000 0.0000 0.0000  0.00
Gd2 0.0000 0.0000 0.5000  7.15
Pm1 0.5000 0.5000 0.5000  -0.06

Density functional theory data (PBE) for crystalline Pm2GdLu at its relaxed geometry.

Output
Energy = -28.0 eV/cell
E above lowest polymorph = 0.0 meV per atom

Cell lengths 5.0380, 5.0804, 5.0804 Å; angles 90.00, 90.00, 90.00 degrees
Each line ends with the local moment (μB).
Element x y z (fractional)
Pm1 0.0000 0.5000 0.0000  -0.03
Pm2 0.0000 0.0000 0.5000  -0.03
Lu1 0.5000 0.5000 0.5000  -0.01
Gd1 0.5000 0.0000 0.0000  7.16